Run one
This record from the Alexandria database describes a geometry-optimized BaIn2Sn6 structure. The functional is PBE.

Summary:
Density of states at the Fermi level (states/eV per cell): 5.33
Space-group type: C2/c

```
data_BaIn2Sn6
_space_group_name_H-M_alt 'P 1'
_space_group_IT_number 1
_cell_length_a 4.570
_cell_length_b 17.407
_cell_length_c 17.407
_cell_angle_alpha 143.95
_cell_angle_beta 100.90
_cell_angle_gamma 100.90
loop_
_space_group_symop_operation_xyz
'x,y,z'
loop_
_atom_site_label
_atom_site_type_symbol
_atom_site_fract_x
_atom_site_fract_y
_atom_site_fract_z
Ba1 Ba 0.750 0.824 0.176
Ba2 Ba 0.250 0.176 0.824
Sn1 Sn 0.668 0.840 0.387
Sn2 Sn 0.537 0.087 0.296
Sn3 Sn 0.429 0.698 0.643
Sn4 Sn 0.037 0.296 0.087
Sn5 Sn 0.571 0.302 0.357
Sn6 Sn 0.463 0.913 0.704
Sn7 Sn 0.332 0.160 0.613
Sn8 Sn 0.963 0.704 0.913
Sn9 Sn 0.929 0.643 0.698
Sn10 Sn 0.071 0.357 0.302
Sn11 Sn 0.832 0.613 0.160
Sn12 Sn 0.168 0.387 0.840
In1 In 0.170 0.478 0.748
In2 In 0.830 0.522 0.252
In3 In 0.670 0.748 0.478
In4 In 0.330 0.252 0.522
```


Run two
This record from the Alexandria database describes a geometry-optimized BaIn2Sn6 structure. The functional is PBE.

Summary:
Density of states at the Fermi level (states/eV per cell): 3.13
Space-group type: C2/m

```
data_BaIn2Sn6
_space_group_name_H-M_alt 'P 1'
_space_group_IT_number 1
_cell_length_a 5.087
_cell_length_b 8.894
_cell_length_c 8.894
_cell_angle_alpha 50.24
_cell_angle_beta 73.33
_cell_angle_gamma 73.33
loop_
_space_group_symop_operation_xyz
'x,y,z'
loop_
_atom_site_label
_atom_site_type_symbol
_atom_site_fract_x
_atom_site_fract_y
_atom_site_fract_z
In1 In 0.106 0.393 0.393
In2 In 0.894 0.607 0.607
Sn1 Sn 0.500 0.689 0.311
Sn2 Sn 0.301 0.998 0.402
Sn3 Sn 0.301 0.402 0.998
Sn4 Sn 0.500 0.311 0.689
Sn5 Sn 0.699 0.002 0.598
Sn6 Sn 0.699 0.598 0.002
Ba1 Ba 0.000 0.000 0.000
```


Which structure is the least stable? The one labeled run one.


Run one
This record from the Alexandria database describes a geometry-optimized Ba3InSn structure. The functional is PBE.

Summary:
Density of states at the Fermi level (states/eV per cell): 7.71
Space-group type: P1

```
data_Ba3InSn
_space_group_name_H-M_alt 'P 1'
_space_group_IT_number 1
_cell_length_a 5.727
_cell_length_b 7.732
_cell_length_c 10.275
_cell_angle_alpha 91.30
_cell_angle_beta 89.91
_cell_angle_gamma 89.99
loop_
_space_group_symop_operation_xyz
'x,y,z'
loop_
_atom_site_label
_atom_site_type_symbol
_atom_site_fract_x
_atom_site_fract_y
_atom_site_fract_z
In1 In 0.542 0.738 0.955
In2 In 0.044 0.591 0.130
Ba1 Ba 0.544 0.798 0.271
Ba2 Ba 0.543 0.436 0.582
Ba3 Ba 0.543 0.257 0.977
Ba4 Ba 0.543 0.952 0.639
Ba5 Ba 0.044 0.193 0.366
Ba6 Ba 0.043 0.682 0.794
Sn1 Sn 0.042 0.208 0.727
Sn2 Sn 0.043 0.688 0.435
```


Run two
This record from the Alexandria database describes a geometry-optimized Ba3InSn structure. The functional is PBE.

Summary:
Density of states at the Fermi level (states/eV per cell): 5.71
Space-group type: Pm-3m

```
data_Ba3InSn
_space_group_name_H-M_alt 'P 1'
_space_group_IT_number 1
_cell_length_a 6.675
_cell_length_b 6.675
_cell_length_c 6.675
_cell_angle_alpha 90.00
_cell_angle_beta 90.00
_cell_angle_gamma 90.00
loop_
_space_group_symop_operation_xyz
'x,y,z'
loop_
_atom_site_label
_atom_site_type_symbol
_atom_site_fract_x
_atom_site_fract_y
_atom_site_fract_z
Sn1 Sn 0.000 0.000 0.000
Ba1 Ba 0.500 0.000 0.000
Ba2 Ba 0.000 0.500 0.000
Ba3 Ba 0.000 0.000 0.500
In1 In 0.500 0.500 0.500
```


Which structure is the least stable? The one labeled run two.


Run one
This record from the Alexandria database describes a geometry-optimized BaZnInSn2 structure. The functional is PBE.

Summary:
Density of states at the Fermi level (states/eV per cell): 7.52
Space-group type: P4/mmm

```
data_BaZnInSn2
_space_group_name_H-M_alt 'P 1'
_space_group_IT_number 1
_cell_length_a 6.540
_cell_length_b 6.614
_cell_length_c 6.540
_cell_angle_alpha 90.00
_cell_angle_beta 90.00
_cell_angle_gamma 90.00
loop_
_space_group_symop_operation_xyz
'x,y,z'
loop_
_atom_site_label
_atom_site_type_symbol
_atom_site_fract_x
_atom_site_fract_y
_atom_site_fract_z
Sn1 Sn 0.500 0.000 0.000
Sn2 Sn 0.000 0.000 0.500
Ba1 Ba 0.000 0.000 0.000
Zn1 Zn 0.500 0.500 0.500
In1 In 0.000 0.500 0.000
```


Run two
This record from the Alexandria database describes a geometry-optimized BaZnInSn2 structure. The functional is PBE.

Summary:
Density of states at the Fermi level (states/eV per cell): 1.81
Space-group type: I-4m2

```
data_BaZnInSn2
_space_group_name_H-M_alt 'P 1'
_space_group_IT_number 1
_cell_length_a 5.111
_cell_length_b 5.111
_cell_length_c 6.780
_cell_angle_alpha 112.14
_cell_angle_beta 112.14
_cell_angle_gamma 90.00
loop_
_space_group_symop_operation_xyz
'x,y,z'
loop_
_atom_site_label
_atom_site_type_symbol
_atom_site_fract_x
_atom_site_fract_y
_atom_site_fract_z
In1 In 0.750 0.250 0.500
Ba1 Ba 0.000 0.000 0.000
Zn1 Zn 0.250 0.750 0.500
Sn1 Sn 0.627 0.627 0.255
Sn2 Sn 0.373 0.373 0.745
```


Which structure is the least stable? The one labeled run one.


Run one
This record from the Alexandria database describes a geometry-optimized Ba2SrIn structure. The functional is PBE.

Summary:
Density of states at the Fermi level (states/eV per cell): 3.89
Space-group type: Imm2

```
data_Ba2SrIn
_space_group_name_H-M_alt 'P 1'
_space_group_IT_number 1
_cell_length_a 7.928
_cell_length_b 7.928
_cell_length_c 6.484
_cell_angle_alpha 65.88
_cell_angle_beta 65.88
_cell_angle_gamma 31.62
loop_
_space_group_symop_operation_xyz
'x,y,z'
loop_
_atom_site_label
_atom_site_type_symbol
_atom_site_fract_x
_atom_site_fract_y
_atom_site_fract_z
In1 In 0.506 0.506 0.494
Sr1 Sr 0.198 0.198 0.302
Ba1 Ba 0.997 0.997 0.003
Ba2 Ba 0.800 0.800 0.700
```


Run two
This record from the Alexandria database describes a geometry-optimized Ba2SrIn structure. The functional is PBE.

Summary:
Density of states at the Fermi level (states/eV per cell): 4.64
Space-group type: R-3m

```
data_Ba2SrIn
_space_group_name_H-M_alt 'P 1'
_space_group_IT_number 1
_cell_length_a 12.963
_cell_length_b 12.963
_cell_length_c 12.963
_cell_angle_alpha 19.20
_cell_angle_beta 19.20
_cell_angle_gamma 19.20
loop_
_space_group_symop_operation_xyz
'x,y,z'
loop_
_atom_site_label
_atom_site_type_symbol
_atom_site_fract_x
_atom_site_fract_y
_atom_site_fract_z
Ba1 Ba 0.515 0.515 0.515
Ba2 Ba 0.985 0.985 0.985
In1 In 0.250 0.250 0.250
Sr1 Sr 0.750 0.750 0.750
```


Run three
This record from the Alexandria database describes a geometry-optimized Ba2SrIn structure. The functional is PBE.

Summary:
Density of states at the Fermi level (states/eV per cell): 4.18
Space-group type: I-4m2

```
data_Ba2SrIn
_space_group_name_H-M_alt 'P 1'
_space_group_IT_number 1
_cell_length_a 6.607
_cell_length_b 6.607
_cell_length_c 6.607
_cell_angle_alpha 127.89
_cell_angle_beta 127.89
_cell_angle_gamma 76.80
loop_
_space_group_symop_operation_xyz
'x,y,z'
loop_
_atom_site_label
_atom_site_type_symbol
_atom_site_fract_x
_atom_site_fract_y
_atom_site_fract_z
Sr1 Sr 0.750 0.250 0.500
Ba1 Ba 0.000 0.000 0.000
Ba2 Ba 0.250 0.750 0.500
In1 In 0.500 0.500 0.000
```


Run four
This record from the Alexandria database describes a geometry-optimized Ba2SrIn structure. The functional is PBE.

Summary:
Density of states at the Fermi level (states/eV per cell): 5.01
Space-group type: Fm-3m

```
data_Ba2SrIn
_space_group_name_H-M_alt 'P 1'
_space_group_IT_number 1
_cell_length_a 6.341
_cell_length_b 6.341
_cell_length_c 6.341
_cell_angle_alpha 60.00
_cell_angle_beta 60.00
_cell_angle_gamma 60.00
loop_
_space_group_symop_operation_xyz
'x,y,z'
loop_
_atom_site_label
_atom_site_type_symbol
_atom_site_fract_x
_atom_site_fract_y
_atom_site_fract_z
Sr1 Sr 0.000 0.000 0.000
Ba1 Ba 0.250 0.250 0.250
Ba2 Ba 0.750 0.750 0.750
In1 In 0.500 0.500 0.500
```


Which structure is the least stable? The one labeled run two.


Run one
This record from the Alexandria database describes a geometry-optimized BaSrIn4 structure. The functional is PBE.

Summary:
Density of states at the Fermi level (states/eV per cell): 5.31
Space-group type: F-43m

```
data_BaSrIn4
_space_group_name_H-M_alt 'P 1'
_space_group_IT_number 1
_cell_length_a 6.388
_cell_length_b 6.388
_cell_length_c 6.388
_cell_angle_alpha 60.00
_cell_angle_beta 60.00
_cell_angle_gamma 60.00
loop_
_space_group_symop_operation_xyz
'x,y,z'
loop_
_atom_site_label
_atom_site_type_symbol
_atom_site_fract_x
_atom_site_fract_y
_atom_site_fract_z
In1 In 0.625 0.625 0.125
In2 In 0.625 0.125 0.625
In3 In 0.625 0.625 0.625
In4 In 0.125 0.625 0.625
Sr1 Sr 0.250 0.250 0.250
Ba1 Ba 0.000 0.000 0.000
```


Run two
This record from the Alexandria database describes a geometry-optimized BaSrIn4 structure. The functional is PBE.

Summary:
Density of states at the Fermi level (states/eV per cell): 1.71
Space-group type: Imm2

```
data_BaSrIn4
_space_group_name_H-M_alt 'P 1'
_space_group_IT_number 1
_cell_length_a 5.242
_cell_length_b 6.597
_cell_length_c 6.597
_cell_angle_alpha 79.59
_cell_angle_beta 66.59
_cell_angle_gamma 66.59
loop_
_space_group_symop_operation_xyz
'x,y,z'
loop_
_atom_site_label
_atom_site_type_symbol
_atom_site_fract_x
_atom_site_fract_y
_atom_site_fract_z
In1 In 0.159 0.654 0.027
In2 In 0.159 0.027 0.654
In3 In 0.836 0.849 0.478
In4 In 0.836 0.478 0.849
Ba1 Ba 0.549 0.451 0.451
Sr1 Sr 0.459 0.041 0.041
```


Which structure is the least stable? The one labeled run one.